Entry 1:
# Te3Mo | the Alexandria database | PBE-GGA | optimized geometry
# Formation energy (no corrections) (eV per atom): -0.04
# Mass density (g/cm3): 6.87
data_Te3Mo
_space_group_name_H-M_alt 'P -6 m 2'
_space_group_IT_number 187
_space_group_name_Hall 'P -6 2'
_cell_length_a 3.4289
_cell_length_b 3.4289
_cell_length_c 11.3693
_cell_angle_alpha 90.00
_cell_angle_beta 90.00
_cell_angle_gamma 120.00
loop_
_atom_site_label
_atom_site_fract_x
_atom_site_fract_y
_atom_site_fract_z
Te1 0.0000 0.0000 0.0000
Te2 0.6667 0.3333 0.3349
Mo1 0.0000 0.0000 0.5000



Entry 2:
# Np4Pa3TiP8 | the Alexandria database | PBE-GGA | optimized geometry
# Energy relative to the elements (eV per atom): -1.044
# Mass density (g/cm3): 9.48
data_Np4Pa3TiP8
_space_group_name_H-M_alt 'C 1 2/m 1'
_space_group_IT_number 12
_cell_length_a 13.517
_cell_length_b 7.855
_cell_length_c 7.804
_cell_angle_alpha 90.00
_cell_angle_beta 125.00
_cell_angle_gamma 90.00
loop_
_space_group_symop_operation_xyz
'x,y,z'
'-x,-y,-z'
'-x,y,-z'
'x,-y,z'
'x+1/2,y+1/2,z'
'-x+1/2,-y+1/2,-z'
'-x+1/2,y+1/2,-z'
'x+1/2,-y+1/2,z'
loop_
_atom_site_label
_atom_site_fract_x
_atom_site_fract_y
_atom_site_fract_z
Np1 0.000 0.000 0.000
Np2 0.000 0.500 0.000
Np3 0.250 0.250 0.500
Pa1 0.000 0.000 0.500
Pa2 0.250 0.250 0.000
Ti1 0.000 0.500 0.500
P1 0.001 0.261 0.260
P2 0.240 0.500 0.738
P3 0.249 0.500 0.251



Entry 3:
# Li4TbPd7 | the Alexandria database | PBE-GGA | optimized geometry
# Energy relative to the elements (eV per atom): -0.266
# Mass density (g/cm3): 7.63
data_Li4TbPd7
_space_group_name_H-M_alt 'C 1 2/m 1'
_space_group_IT_number 12
_cell_length_a 10.292
_cell_length_b 4.989
_cell_length_c 9.165
_cell_angle_alpha 90.00
_cell_angle_beta 120.49
_cell_angle_gamma 90.00
loop_
_space_group_symop_operation_xyz
'x,y,z'
'-x,-y,-z'
'-x,y,-z'
'x,-y,z'
'x+1/2,y+1/2,z'
'-x+1/2,-y+1/2,-z'
'-x+1/2,y+1/2,-z'
'x+1/2,-y+1/2,z'
loop_
_atom_site_label
_atom_site_fract_x
_atom_site_fract_y
_atom_site_fract_z
Li1 0.080 0.000 0.264
Li2 0.226 0.000 0.823
Tb1 0.000 0.500 0.500
Pd1 0.000 0.000 0.500
Pd2 0.047 0.500 0.876
Pd3 0.155 0.000 0.047
Pd4 0.217 0.500 0.417



Entry 4:
# Nd9Sm2In | the Alexandria database | PBE-GGA | optimized geometry
# Energy relative to the elements (eV per atom): -0.070
# Mass density (g/cm3): 7.06
data_Nd9Sm2In
_space_group_name_H-M_alt 'P 4/m m m'
_space_group_IT_number 123
_space_group_name_Hall '-P 4 2'
_cell_length_a 5.084
_cell_length_b 5.084
_cell_length_c 15.599
_cell_angle_alpha 90.00
_cell_angle_beta 90.00
_cell_angle_gamma 90.00
loop_
_atom_site_label
_atom_site_fract_x
_atom_site_fract_y
_atom_site_fract_z
Nd1 0.000 0.000 0.000
Nd2 0.000 0.000 0.330
Nd3 0.000 0.500 0.160
Nd4 0.000 0.500 0.500
Sm1 0.500 0.500 0.330
In1 0.500 0.500 0.000



no.,energy (Ry per atom)
1,-0.375
2,-0.680
3,-0.317
4,-0.343